Computed, not measured: VRe2BiBr after structural relaxation at the PBE level of DFT.

```
VRe2BiBr
1.0
4.736 0.000 0.000
0.000 4.736 0.000
0.000 0.000 4.748
V Re Bi Br
1 2 1 1
Direct
0.000 0.000 0.000
0.000 0.500 0.000
0.500 0.000 0.000
0.500 0.500 0.500
0.000 0.000 0.500
```

Calculated values
Formation energy from raw total energies, eV per atom: 1.489

=====

Computed, not measured: BiRhBr after structural relaxation at the PBE level of DFT.

```
BiRhBr
1.0
3.955 0.000 0.000
0.000 5.849 0.000
0.000 0.000 6.531
Bi Rh Br
2 2 2
Direct
0.000 0.028 0.000
0.500 0.972 0.500
0.000 0.236 0.633
0.500 0.764 0.133
0.000 0.456 0.283
0.500 0.544 0.783
```

Calculated values
Formation energy from raw total energies, eV per atom: -0.197

=====

Computed, not measured: BiRh2Br after structural relaxation at the PBE level of DFT.

```
BiRh2Br
1.0
0.000 3.351 3.351
3.351 0.000 3.351
3.351 3.351 0.000
Bi Rh Br
1 2 1
Direct
0.000 0.000 0.000
0.250 0.250 0.250
0.750 0.750 0.750
0.500 0.500 0.500
```

Calculated values
Energy relative to the lowest polymorph listed for this composition, meV/atom: 0
Formation energy from raw total energies, eV per atom: 0.310

=====

Computed, not measured: BiRhBr2 after structural relaxation at the PBE level of DFT.

```
BiRhBr2
1.0
-4.819 4.819 2.646
4.819 -4.819 2.646
4.819 4.819 -2.646
Bi Rh Br
2 2 4
Direct
0.000 0.000 0.000
0.750 0.250 0.500
0.250 0.750 0.500
0.500 0.500 0.000
0.288 0.625 0.163
0.375 0.538 0.663
0.462 0.125 0.837
0.875 0.712 0.337
```

Calculated values
Energy relative to the lowest polymorph listed for this composition, meV/atom: 0
Formation energy from raw total energies, eV per atom: 0.035

=====

Computed, not measured: BiRhBr2 after structural relaxation at the PBE level of DFT.

```
BiRhBr2
1.0
0.000 3.565 3.565
3.565 0.000 3.565
3.565 3.565 0.000
Bi Rh Br
1 1 2
Direct
0.000 0.000 0.000
0.500 0.500 0.500
0.250 0.250 0.250
0.750 0.750 0.750
```

Calculated values
Energy relative to the lowest polymorph listed for this composition, meV/atom: 367
Formation energy from raw total energies, eV per atom: 0.401

=====

Computed, not measured: BiRhBr3 after structural relaxation at the PBE level of DFT.

```
BiRhBr3
1.0
5.072 0.000 0.000
0.000 5.072 0.000
0.000 0.000 5.072
Bi Rh Br
1 1 3
Direct
0.000 0.000 0.000
0.500 0.500 0.500
0.000 0.500 0.500
0.500 0.000 0.500
0.500 0.500 0.000
```

Calculated values
Energy relative to the lowest polymorph listed for this composition, meV/atom: 0
Formation energy from raw total energies, eV per atom: 0.050

=====

Computed, not measured: Bi12Rh3Br2 after structural relaxation at the PBE level of DFT.

```
Bi12Rh3Br2
1.0
0.000 8.407 16.204
3.759 0.000 16.204
3.759 8.407 0.000
Bi Rh Br
24 6 4
Direct
0.103 0.423 0.229
0.154 0.490 0.696
0.161 0.195 0.833
0.161 0.696 0.490
0.167 0.688 0.839
0.195 0.161 0.312
0.229 0.745 0.103
0.255 0.771 0.577
0.304 0.839 0.846
0.312 0.833 0.195
0.423 0.103 0.745
0.490 0.154 0.161
0.510 0.846 0.839
0.577 0.897 0.255
0.688 0.167 0.805
0.696 0.161 0.154
0.745 0.229 0.423
0.771 0.255 0.897
0.805 0.839 0.688
0.833 0.312 0.161
0.839 0.304 0.510
0.839 0.805 0.167
0.846 0.510 0.304
0.897 0.577 0.771
0.000 0.000 0.000
0.000 0.000 0.500
0.000 0.500 0.000
0.125 0.125 0.125
0.500 0.000 0.000
0.875 0.875 0.875
0.175 0.575 0.175
0.425 0.825 0.425
0.575 0.175 0.575
0.825 0.425 0.825
```

Calculated values
Formation energy from raw total energies, eV per atom: -0.259

=====

Computed, not measured: BiRh2Br after structural relaxation at the PBE level of DFT.

```
BiRh2Br
1.0
-2.484 2.484 7.485
2.484 -2.484 7.485
2.484 2.484 -7.485
Bi Rh Br
2 4 2
Direct
0.000 0.000 0.000
0.750 0.250 0.500
0.190 0.625 0.065
0.375 0.440 0.565
0.560 0.125 0.935
0.875 0.810 0.435
0.250 0.750 0.500
0.500 0.500 0.000
```

Calculated values
Energy relative to the lowest polymorph listed for this composition, meV/atom: 21
Formation energy from raw total energies, eV per atom: 0.331

=====

Please write out number 6 again, unchanged.
Computed, not measured: BiRhBr3 after structural relaxation at the PBE level of DFT.

```
BiRhBr3
1.0
5.072 0.000 0.000
0.000 5.072 0.000
0.000 0.000 5.072
Bi Rh Br
1 1 3
Direct
0.000 0.000 0.000
0.500 0.500 0.500
0.000 0.500 0.500
0.500 0.000 0.500
0.500 0.500 0.000
```

Calculated values
Energy relative to the lowest polymorph listed for this composition, meV/atom: 0
Formation energy from raw total energies, eV per atom: 0.050

=====

Question: Which value of formation energy from raw total energies does entry 4 give?
Answer: 0.035 eV per atom

=====

Question: What is the formation energy from raw total energies in the second record?
Answer: -0.197 eV per atom

=====

Question: Which of these has the lowest formation energy from raw total energies?
Answer: Bi12Rh3Br2